Material: RhSe2BrF
Method: DFT, PBE-GGA
State: optimized geometry

Lattice parameters (Å, degrees): 4.3022 4.3022 5.9398 90.00 90.00 90.00
Atoms (fractional coordinates):
1 Se 0.0000 0.5000 0.0000
2 Se 0.5000 0.0000 0.0000
3 Rh 0.5000 0.5000 0.5000
4 Br 0.0000 0.0000 0.5000
5 F 0.0000 0.0000 0.0000

Values from the calculation:
D(E_F): 6.80 states/eV/f.u.
Formation energy (no corrections): 664 meV/atom
E: -2.91 eV/atom
Total magnetic moment: 2.892 μB/f.u.

=====

Material: Na3TmZr2Se6
Method: DFT, PBE-GGA
State: optimized geometry

Lattice parameters (Å, degrees): 6.7936 6.7936 7.4876 98.71 98.71 120.00
Atoms (fractional coordinates):
1 Na 0.5000 0.5000 0.5000
2 Na 0.8354 0.1646 0.5000
3 Na 0.1646 0.8354 0.5000
4 Se 0.4165 0.0759 0.2274
5 Se 0.0759 0.4165 0.2274
6 Se 0.7352 0.7352 0.2272
7 Se 0.9241 0.5835 0.7726
8 Se 0.5835 0.9241 0.7726
9 Se 0.2648 0.2648 0.7728
10 Zr 0.6668 0.3332 0.0000
11 Zr 0.3332 0.6668 0.0000
12 Tm 0.0000 0.0000 0.0000

Values from the calculation:
D(E_F): 5.38 states/eV/f.u.
Formation energy (no corrections): -1413 meV/atom
E: -5.28 eV/atom
Total magnetic moment: 0.000 μB/f.u.

=====

Material: LuZr2Rh
Method: DFT, PBE-GGA
State: optimized geometry

Lattice parameters (Å, degrees): 3.3724 3.3724 7.6233 90.00 90.00 90.00
Atoms (fractional coordinates):
1 Rh 0.5000 0.5000 0.0000
2 Lu 0.5000 0.5000 0.5000
3 Zr 0.0000 0.0000 0.2071
4 Zr 0.0000 0.0000 0.7929

Values from the calculation:
Energy of formation: -1.2 eV per formula unit
D(E_F): 6.91 states/eV/f.u.
E: -7.53 eV/atom
Total magnetic moment: 0.000 μB/f.u.

=====

Material: Ca3BeH
Method: DFT, PBE-GGA
State: optimized geometry

Lattice parameters (Å, degrees): 4.8908 4.8908 4.8908 90.00 90.00 90.00
Atoms (fractional coordinates):
1 Ca 0.0000 0.0000 0.5000
2 Ca 0.0000 0.5000 0.0000
3 Ca 0.5000 0.0000 0.0000
4 Be 0.5000 0.5000 0.5000
5 H 0.0000 0.0000 0.0000

Values from the calculation:
D(E_F): 4.84 states/eV/f.u.
E: -2.49 eV/atom
Total magnetic moment: 0.000 μB/f.u.

=====

Look up the E of the first one. -2.91 eV/atom

=====

What is the E in the fourth record? -2.49 eV/atom

=====

Among the records above, which one has the highest total magnetic moment? RhSe2BrF